Material: LaCrCu2
Method: DFT, PBE
State: optimized geometry

Properties
magnetic moment: 3.8 μB/f.u.
energy relative to the elements: 388 meV per atom
V: 362 Å³ per cell

Cell lengths 4.557, 4.557, 17.431 Å; angles 90.00, 90.00, 90.00 degrees
Space group I-42d (No. 122)
Unique sites:
La1 0.000 0.000 0.000 (multiplicity 4)
Cr1 0.000 0.000 0.500 (multiplicity 4)
Cu1 0.043 0.250 0.625 (multiplicity 8)

***

Material: La2CrCu3Ni12
Method: DFT, PBE
State: optimized geometry

Properties
magnetic moment: 2.5 μB/f.u.
energy relative to the elements: 245 meV per atom
V: 801 Å³ per cell

Cell lengths 6.0650, 6.0650, 25.1454 Å; angles 90.00, 90.00, 120.00 degrees
Space group R-3m (No. 166, hexagonal axes)
Unique sites:
La1 0.0000 0.0000 0.1562 (multiplicity 6)
Cr1 0.0000 0.0000 0.5000 (multiplicity 3)
Cu1 0.0000 0.5000 0.0000 (multiplicity 9)
Ni1 0.0588 0.5294 0.0956 (multiplicity 18)
Ni2 0.0733 0.5367 0.6150 (multiplicity 18)